Here is a geometry-optimized MgCdOF2 structure from Alexandria via LeMat-Bulk. Energies are from PBE.

The calculation puts the uncorrected formation energy at -2231 meV per atom.

The space group is P4/mmm (No. 123) and the conventional cell measures 3.7718, 3.7718 and 4.2761 Å, with angles of 90.00, 90.00 and 90.00 degrees. The asymmetric unit holds Mg at (0.0000, 0.0000, 0.0000), Cd at (0.5000, 0.5000, 0.5000), O at (0.0000, 0.0000, 0.5000) and F at (0.0000, 0.5000, 0.0000).



Here is a geometry-optimized Pm2NdEr5Tm structure from Alexandria via LeMat-Bulk. Energies are from PBE.

For the formation energy, the calculation gives 0.271 eV/atom.

The space group is I4/mcm (No. 140) and the conventional cell measures 8.7094, 8.7094 and 15.2810 Å, with angles of 90.00, 90.00 and 90.00 degrees. The asymmetric unit holds Pm at (0.1161, 0.3839, 0.0000), Nd at (0.0000, 0.0000, 0.2500), Er at (0.0000, 0.0000, 0.0000), Er at (0.2099, 0.2901, 0.3626) and Tm at (0.0000, 0.5000, 0.2500).



Here is a geometry-optimized La3Pr2DySe6 structure from Alexandria via LeMat-Bulk. Energies are from PBE.

The calculation puts the uncorrected formation energy at -1912 meV per atom.

The space group is C2/m (No. 12) and the conventional cell measures 7.3690, 12.7971 and 7.3664 Å, with angles of 90.00, 109.56 and 90.00 degrees. The asymmetric unit holds La at (0.0000, 0.0000, 0.0000), La at (0.0000, 0.3287, 0.0000), Pr at (0.0000, 0.1667, 0.5000), Dy at (0.0000, 0.5000, 0.5000), Se at (0.2411, 0.5000, 0.2548) and Se at (0.2415, 0.3385, 0.7407).



Here is a geometry-optimized AcDy2Ag2Sn2 structure from Alexandria via LeMat-Bulk. Energies are from PBE.

For the formation energy, the calculation gives -0.470 eV/atom.

The space group is R-3m (No. 166, hexagonal axes) and the conventional cell measures 4.9308, 4.9308 and 27.2115 Å, with angles of 90.00, 90.00 and 120.00 degrees. The asymmetric unit holds Ac at (0.0000, 0.0000, 0.0000), Dy at (0.0000, 0.0000, 0.1357), Ag at (0.0000, 0.0000, 0.4423) and Sn at (0.0000, 0.0000, 0.2584).



Computed D(E_F) (states/eV per cell) in order:
0.07 41.38 12.39 11.07